Record 1
## Ga2PdPt3 (PBE)

Data for a geometry-optimized Ga2PdPt3 structure.

abc: 5.4281 5.4316 7.5344
angles: 111.13 111.11 90.00
Closest atoms and distances in Å follow each position.
Element x y z (fractional)
Ga 0.8829 0.6351 0.2702  4 Pt 2.45-2.74, 2 Pd 2.60
Ga 0.1171 0.3649 0.7298  4 Pt 2.45-2.74, 2 Pd 2.60
Ga 0.3873 0.1351 0.2702  4 Pt 2.45-2.74, 2 Pd 2.60
Ga 0.6127 0.8649 0.7298  4 Pt 2.45-2.74, 2 Pd 2.60
Pt 0.9332 0.1761 0.3521  2 Ga 2.45-2.74
Pt 0.5000 0.7500 0.0000  4 Ga 2.59, 2 Pd 2.71, 2 Pt 2.72
Pt 0.0668 0.8239 0.6479  2 Ga 2.45-2.74
Pt 0.5000 0.2500 0.0000  4 Ga 2.59, 2 Pd 2.71, 2 Pt 2.72
Pt 0.4189 0.6761 0.3521  2 Ga 2.45-2.74
Pt 0.5811 0.3239 0.6479  2 Ga 2.45-2.74
Pd 0.0000 0.7500 0.0000  4 Ga 2.60, 2 Pt 2.71, 2 Pd 2.72
Pd 0.0000 0.2500 0.0000  4 Ga 2.60, 2 Pt 2.71, 2 Pd 2.72

The energy relative to the elements comes out at -0.4502 eV/atom. For the calculated density, the calculation gives 14.44 Mg/m³. The total energy is -5.345 eV per atom. The calculation puts the distance to the lowest polymorph of the same formula at 0 meV/atom. The crystal system is orthorhombic.

Record 2
## GaPd3Pt3 (PBE)

Data for a geometry-optimized GaPd3Pt3 structure.

abc: 7.4282 7.4282 7.4282
angles: 52.77 52.77 52.77
Closest atoms and distances in Å follow each position.
Element x y z (fractional)
Pt 0.7555 0.5755 0.0582  1 Ga 2.64, 4 Pd 2.69-2.83, 5 Pt 2.76-2.79
Pt 0.4245 0.9418 0.2445  1 Ga 2.64, 4 Pd 2.69-2.83, 5 Pt 2.76-2.79
Pt 0.9418 0.2445 0.4245  1 Ga 2.64, 4 Pd 2.69-2.83, 5 Pt 2.76-2.79
Pt 0.5755 0.0582 0.7555  1 Ga 2.64, 4 Pd 2.69-2.83, 5 Pt 2.76-2.79
Pt 0.0582 0.7555 0.5755  1 Ga 2.64, 4 Pd 2.69-2.83, 5 Pt 2.76-2.79
Pt 0.2445 0.4245 0.9418  1 Ga 2.64, 4 Pd 2.69-2.83, 5 Pt 2.76-2.79
Pd 0.9156 0.7148 0.1991  1 Ga 2.46, 2 Pt 2.69-2.75, 2 Pd 2.70
Pd 0.8009 0.0844 0.2852  1 Ga 2.46, 2 Pt 2.69-2.75, 2 Pd 2.70
Pd 0.7148 0.1991 0.9156  1 Ga 2.46, 2 Pt 2.69-2.75, 2 Pd 2.70
Pd 0.0844 0.2852 0.8009  1 Ga 2.46, 2 Pt 2.69-2.75, 2 Pd 2.70
Pd 0.1991 0.9156 0.7148  1 Ga 2.46, 2 Pt 2.69-2.75, 2 Pd 2.70
Pd 0.2852 0.8009 0.0844  1 Ga 2.46, 2 Pt 2.69-2.75, 2 Pd 2.70
Ga 0.5951 0.5951 0.5951  3 Pd 2.46, 3 Pt 2.64
Ga 0.4049 0.4049 0.4049  3 Pd 2.46, 3 Pt 2.64

The energy relative to the elements comes out at -0.0292 eV/atom. For the calculated density, the calculation gives 13.44 Mg/m³. The total energy is -5.276 eV per atom. The crystal system is trigonal.

Record 3
## GaPd2Pt (PBE)

Data for a geometry-optimized GaPd2Pt structure.

abc: 3.9635 3.9121 3.9121
angles: 90.00 90.00 90.00
Closest atoms and distances in Å follow each position.
Element x y z (fractional)
Ga 0.5000 0.5000 0.5000  4 Pt 2.77, 8 Pd 2.78
Pt 0.5000 0.0000 0.0000  4 Ga 2.77, 8 Pd 2.78
Pd 0.0000 0.5000 0.0000  4 Pd 2.77, 4 Pt 2.78, 4 Ga 2.78
Pd 0.0000 0.0000 0.5000  4 Pd 2.77, 4 Ga 2.78, 4 Pt 2.78

The energy relative to the elements comes out at -0.4486 eV/atom. For the calculated density, the calculation gives 13.08 Mg/m³. The total energy is -5.312 eV per atom. The crystal system is tetragonal.

Record 4
## Ga2Pd6Pt (PBE)

Data for a geometry-optimized Ga2Pd6Pt structure.

abc: 4.7057 4.3872 8.3398
angles: 101.68 90.00 122.43
Closest atoms and distances in Å follow each position.
Element x y z (fractional)
Ga 0.3054 0.6108 0.0960  6 Pd 2.48-2.69
Ga 0.6946 0.3892 0.9040  6 Pd 2.48-2.69
Pd 0.3227 0.6454 0.3966  1 Ga 2.48, 3 Pt 2.73, 1 Pd 2.77
Pd 0.6463 0.2927 0.2640  1 Ga 2.58, 7 Pd 2.72-2.87, 1 Pt 2.87
Pd 0.9646 0.9293 0.1555  4 Ga 2.53-2.69, 4 Pd 2.72-2.77, 1 Pt 2.82
Pd 0.6773 0.3546 0.6034  1 Ga 2.48, 3 Pt 2.73, 1 Pd 2.77
Pd 0.0354 0.0707 0.8445  4 Ga 2.53-2.69, 4 Pd 2.72-2.77, 1 Pt 2.82
Pd 0.3537 0.7073 0.7360  1 Ga 2.58, 7 Pd 2.72-2.87, 1 Pt 2.87
Pt 0.0000 0.0000 0.5000  10 Pd 2.73-2.87

The energy relative to the elements comes out at -0.2884 eV/atom. For the calculated density, the calculation gives 11.45 Mg/m³. The total energy is -5.094 eV per atom. The calculation puts the distance to the lowest polymorph of the same formula at 115 meV/atom. The crystal system is monoclinic.